Entry from OQMD: crystalline SiTc2O4 at its relaxed geometry (PBE).

Cell lengths 5.895, 5.895, 5.895 Å; angles 60.00, 60.00, 60.00 degrees
Fractional coordinates of all 14 atoms:
Si 0.125 0.125 0.125
Si 0.875 0.875 0.875
Tc 0.000 0.500 0.500
Tc 0.500 0.000 0.500
Tc 0.500 0.500 0.000
Tc 0.500 0.500 0.500
O 0.216 0.761 0.761
O 0.239 0.239 0.239
O 0.239 0.239 0.784
O 0.239 0.784 0.239
O 0.761 0.216 0.761
O 0.761 0.761 0.216
O 0.761 0.761 0.761
O 0.784 0.239 0.239

Computed properties:
E, eV/f.u.: -54.289
Spin magnetization, μB per cell: 0.04